The following is a DFT calculation (GGA-PBE) of an optimized crystal structure of DyTcSn.

Cell: 10.3374 10.3374 10.3374 Å, 23.27 23.27 23.27°
Positions (direct):
Dy 0.0683 0.0683 0.0683
Dy 0.9317 0.9317 0.9317
Tc 0.3393 0.3393 0.3393
Tc 0.6607 0.6607 0.6607
Sn 0.1922 0.1922 0.1922
Sn 0.8078 0.8078 0.8078

Results
The calculation puts the total moment at 0.0 Bohr magnetons per cell. The calculation puts the final energy at -6.532 eV per atom. Its crystal system is trigonal. Its symmetry is R-3m.

=====

The following is a DFT calculation (GGA-PBE) of an optimized crystal structure of PuNpNb2.

Cell: 3.4045 3.4045 7.3787 Å, 90.00 90.00 90.00°
Positions (direct):
Pu 0.0000 0.0000 0.0000
Np 0.0000 0.0000 0.5000
Nb 0.5000 0.5000 0.2906
Nb 0.5000 0.5000 0.7094

Results
The calculation puts the total moment at 3.0 Bohr magnetons per cell. The calculation puts the final energy at -11.376 eV per atom. For the offset from the most stable computed form, the calculation gives 0 meV per atom. Its crystal system is tetragonal. Its symmetry is P4/mmm.

=====

The following is a DFT calculation (GGA-PBE) of an optimized crystal structure of K2RuO4.

Cell: 3.9221 3.9221 13.5874 Å, 90.00 90.00 90.00°
Positions (direct):
K 0.0000 0.0000 0.1531
K 0.0000 0.0000 0.8469
K 0.5000 0.5000 0.3469
K 0.5000 0.5000 0.6531
Ru 0.0000 0.0000 0.5000
Ru 0.5000 0.5000 0.0000
O 0.0000 0.0000 0.3604
O 0.0000 0.0000 0.6396
O 0.0000 0.5000 0.0000
O 0.0000 0.5000 0.5000
O 0.5000 0.0000 0.0000
O 0.5000 0.0000 0.5000
O 0.5000 0.5000 0.1396
O 0.5000 0.5000 0.8604

Results
The calculation puts the total moment at 2.9 Bohr magnetons per cell. The calculation puts the final energy at -5.664 eV per atom. The value obtained for the uncorrected formation energy is -1.192 eV/atom. For the offset from the most stable computed form, the calculation gives 129 meV per atom. Its crystal system is tetragonal. Its symmetry is I4/mmm.

=====

The following is a DFT calculation (GGA-PBE) of an optimized crystal structure of Ho8Er2In.

Cell: 9.7191 9.7191 9.7191 Å, 147.94 134.75 56.53°
Positions (direct):
Ho 0.1296 0.3620 0.7676
Ho 0.1819 0.1819 0.0000
Ho 0.2596 0.0000 0.2596
Ho 0.4056 0.6380 0.7676
Ho 0.5944 0.3620 0.2324
Ho 0.7404 0.0000 0.7404
Ho 0.8181 0.8181 0.0000
Ho 0.8704 0.6380 0.2324
Er 0.3064 0.8064 0.5000
Er 0.6936 0.1936 0.5000
In 0.0000 0.5000 0.5000

Results
The calculation puts the total moment at 0.0 Bohr magnetons per cell. The calculation puts the final energy at -4.403 eV per atom. For the offset from the most stable computed form, the calculation gives 59 meV per atom. Its crystal system is orthorhombic. Its symmetry is Immm.

=====

The following is a DFT calculation (GGA-PBE) of an optimized crystal structure of Pm4Nd3Mg2.

Cell: 8.0502 8.0502 7.9542 Å, 107.83 107.83 36.83°
Positions (direct):
Pm 0.0552 0.0552 0.3303
Pm 0.2780 0.2780 0.6738
Pm 0.7220 0.7220 0.3262
Pm 0.9448 0.9448 0.6697
Nd 0.3872 0.3872 0.3311
Nd 0.5000 0.5000 0.0000
Nd 0.6128 0.6128 0.6689
Mg 0.1686 0.1686 0.9994
Mg 0.8314 0.8314 0.0006

Results
The calculation puts the total moment at 0.0 Bohr magnetons per cell. The calculation puts the final energy at -4.049 eV per atom. Its crystal system is monoclinic. Its symmetry is C2/m.

=====

The following is a DFT calculation (GGA-PBE) of an optimized crystal structure of In7Cu3.

Cell: 8.2876 8.2876 8.2876 Å, 109.47 109.47 109.47°
Positions (direct):
In 0.0000 0.0000 0.3251
In 0.0000 0.0000 0.6749
In 0.0000 0.3251 0.0000
In 0.0000 0.6749 0.0000
In 0.2500 0.5000 0.7500
In 0.2500 0.7500 0.5000
In 0.3251 0.0000 0.0000
In 0.3251 0.3251 0.3251
In 0.5000 0.2500 0.7500
In 0.5000 0.7500 0.2500
In 0.6749 0.0000 0.0000
In 0.6749 0.6749 0.6749
In 0.7500 0.2500 0.5000
In 0.7500 0.5000 0.2500
Cu 0.0000 0.3505 0.3505
Cu 0.0000 0.6495 0.6495
Cu 0.3505 0.0000 0.3505
Cu 0.3505 0.3505 0.0000
Cu 0.6495 0.0000 0.6495
Cu 0.6495 0.6495 0.0000

Results
The calculation puts the total moment at 0.0 Bohr magnetons per cell. The calculation puts the final energy at -3.110 eV per atom. Its crystal system is cubic. Its symmetry is Im-3m.

=====

The following is a DFT calculation (GGA-PBE) of an optimized crystal structure of PmZrRhAu.

Cell: 6.9723 6.9723 6.9723 Å, 90.00 90.00 90.00°
Positions (direct):
Pm 0.0000 0.0000 0.0000
Pm 0.0000 0.5000 0.5000
Pm 0.5000 0.0000 0.5000
Pm 0.5000 0.5000 0.0000
Zr 0.0000 0.0000 0.5000
Zr 0.0000 0.5000 0.0000
Zr 0.5000 0.0000 0.0000
Zr 0.5000 0.5000 0.5000
Rh 0.2500 0.2500 0.7500
Rh 0.2500 0.7500 0.2500
Rh 0.7500 0.2500 0.2500
Rh 0.7500 0.7500 0.7500
Au 0.2500 0.2500 0.2500
Au 0.2500 0.7500 0.7500
Au 0.7500 0.2500 0.7500
Au 0.7500 0.7500 0.2500

Results
The calculation puts the total moment at 0.0 Bohr magnetons per cell. The calculation puts the final energy at -6.537 eV per atom. Its crystal system is cubic. Its symmetry is F-43m.

=====

The following is a DFT calculation (GGA-PBE) of an optimized crystal structure of MnAl3Zn.

Cell: 4.6794 4.6794 4.6794 Å, 90.00 90.00 90.00°
Positions (direct):
Mn 0.0000 0.0000 0.0000
Al 0.0000 0.5000 0.5000
Al 0.5000 0.0000 0.5000
Al 0.5000 0.5000 0.0000
Zn 0.5000 0.5000 0.5000

Results
The calculation puts the total moment at 4.3 Bohr magnetons per cell. The calculation puts the final energy at -3.587 eV per atom. For the offset from the most stable computed form, the calculation gives 776 meV per atom. Its crystal system is cubic. Its symmetry is Pm-3m.

=====

The following is a DFT calculation (GGA-PBE) of an optimized crystal structure of Tl3Cr2TeSe6.

Cell: 6.7473 6.7473 8.1356 Å, 97.86 97.86 119.93°
Positions (direct):
Tl 0.0000 0.0000 0.0000
Tl 0.3399 0.6601 0.0000
Tl 0.6601 0.3399 0.0000
Cr 0.1670 0.8330 0.5000
Cr 0.8330 0.1670 0.5000
Te 0.5000 0.5000 0.5000
Se 0.0805 0.4385 0.3141
Se 0.2023 0.2023 0.6820
Se 0.4385 0.0805 0.3141
Se 0.5615 0.9195 0.6859
Se 0.7977 0.7977 0.3180
Se 0.9195 0.5615 0.6859

Results
The calculation puts the total moment at 6.9 Bohr magnetons per cell. The calculation puts the final energy at -4.539 eV per atom. The value obtained for the uncorrected formation energy is -0.339 eV/atom. Its crystal system is monoclinic. Its symmetry is C2/m.

=====

The following is a DFT calculation (GGA-PBE) of an optimized crystal structure of NaAgSb2.

Cell: 4.6434 4.6434 4.4752 Å, 90.00 90.00 90.00°
Positions (direct):
Na 0.0000 0.0000 0.0000
Ag 0.5000 0.5000 0.0000
Sb 0.0000 0.5000 0.5000
Sb 0.5000 0.0000 0.5000

Results
The calculation puts the total moment at 0.0 Bohr magnetons per cell. The calculation puts the final energy at -3.168 eV per atom. The value obtained for the uncorrected formation energy is -0.064 eV/atom. For the offset from the most stable computed form, the calculation gives 86 meV per atom. Its crystal system is tetragonal. Its symmetry is P4/mmm.

=====

The following is a DFT calculation (GGA-PBE) of an optimized crystal structure of TbAlOs.

Cell: 5.9334 5.9334 8.2133 Å, 90.00 90.00 90.00°
Positions (direct):
Tb 0.2145 0.2145 0.0000
Tb 0.2855 0.7145 0.2500
Tb 0.7145 0.2855 0.7500
Tb 0.7855 0.7855 0.5000
Al 0.1635 0.1635 0.5000
Al 0.3365 0.6635 0.7500
Al 0.6635 0.3365 0.2500
Al 0.8365 0.8365 0.0000
Os 0.0469 0.9531 0.7500
Os 0.4531 0.4531 0.5000
Os 0.5469 0.5469 0.0000
Os 0.9531 0.0469 0.2500

Results
The calculation puts the total moment at 0.0 Bohr magnetons per cell. The calculation puts the final energy at -6.437 eV per atom. Its crystal system is tetragonal. Its symmetry is P4_12_12.

=====

The following is a DFT calculation (GGA-PBE) of an optimized crystal structure of CsPmGe2Cl8.

Cell: 6.3740 7.0528 9.9364 Å, 94.00 91.45 95.95°
Positions (direct):
Cs 0.0000 0.0000 0.0000
Pm 0.0000 0.0000 0.5000
Ge 0.4530 0.5501 0.2921
Ge 0.5470 0.4499 0.7079
Cl 0.2182 0.1887 0.3126
Cl 0.2318 0.6874 0.4626
Cl 0.2661 0.6106 0.1036
Cl 0.2793 0.1359 0.7083
Cl 0.7207 0.8641 0.2917
Cl 0.7339 0.3894 0.8964
Cl 0.7682 0.3126 0.5374
Cl 0.7818 0.8113 0.6874

Results
The calculation puts the total moment at 0.0 Bohr magnetons per cell. The calculation puts the final energy at -3.952 eV per atom. The value obtained for the uncorrected formation energy is -1.484 eV/atom. Its crystal system is triclinic. Its symmetry is P-1.